The following is a PBE-GGA calculation of crystalline LaNiIr at its relaxed geometry, from Alexandria via LeMat-Bulk.

Summary:
Total moment = 0.000 μB/atom
Formation enthalpy at 0 K = -238 meV per atom

a = 8.8727 Å, b = 5.5785 Å, c = 4.9562 Å
α = 90.00°, β = 112.18°, γ = 90.00°
Closest atoms and distances in Å follow each position.
Space group C2/m (No. 12)
Asymmetric unit:
1 La 0.1292 0.0000 0.3615 x4  2 Ir 2.78, 3 Ni 2.96-3.05, 1 La 3.08
2 Ni 0.0103 0.5000 0.2485 x4  2 Ni 2.40-2.57, 2 Ir 2.58
3 Ir 0.2500 0.2500 0.0000 x4  2 Ni 2.58, 2 La 2.78, 2 Ir 2.79

The following is a PBE-GGA calculation of crystalline LaNiIr2 at its relaxed geometry, from Alexandria via LeMat-Bulk.

Summary:
Energy relative to the lowest polymorph listed for this composition = 355 meV/atom
Total moment = 0.000 μB/atom
Formation enthalpy at 0 K = -199 meV per atom

a = 4.9779 Å, b = 7.1176 Å, c = 4.2925 Å
α = 90.00°, β = 90.00°, γ = 90.00°
Closest atoms and distances in Å follow each position.
Space group Cmmm (No. 65)
Asymmetric unit:
1 La 0.0000 0.0000 0.0000 x2  2 Ni 2.49
2 Ni 0.0000 0.5000 0.0000 x2  2 La 2.49, 4 Ir 2.50
3 Ir 0.0000 0.3197 0.5000 x4  2 Ni 2.50, 3 Ir 2.57-2.68

Question: Which of these has the highest formation enthalpy at 0 K?
Answer: LaNiIr2